[1]
! V2ReIr4, optimized geometry, DFT PBE-GGA; values from VASP
&SYSTEM
  ibrav = 0, nat = 14, ntyp = 3
/
ATOMIC_SPECIES
V 50.94 V.upf
Re 186.21 Re.upf
Ir 192.22 Ir.upf
ATOMIC_POSITIONS crystal
V 0.5000 0.6500 0.8650
V 0.5000 0.3500 0.1350
V 0.5000 0.1500 0.6350
V 0.5000 0.8500 0.3650
Re 0.0000 0.0000 0.5000
Re 0.0000 0.5000 0.0000
Ir 0.0000 0.3853 0.7353
Ir 0.0000 0.6147 0.2647
Ir 0.0000 0.8853 0.7647
Ir 0.0000 0.1147 0.2353
Ir 0.5000 0.6653 0.6041
Ir 0.5000 0.3347 0.3959
Ir 0.5000 0.8347 0.1041
Ir 0.5000 0.1653 0.8959
CELL_PARAMETERS angstrom
-1.1689 -3.0416 2.3026
4.6407 -2.3573 -0.7580
3.6842 4.6684 8.0373
! Formation energy from the elements in meV per atom: -103
! E_tot in eV/cell: -133.7
! M_tot in μB/atom: 0.0000
! Crystal system: orthorhombic



[2]
! VRe2Ir, optimized geometry, DFT PBE-GGA; values from VASP
&SYSTEM
  ibrav = 0, nat = 4, ntyp = 3
/
ATOMIC_SPECIES
Re 186.21 Re.upf
Ir 192.22 Ir.upf
V 50.94 V.upf
ATOMIC_POSITIONS crystal
Re 0.7500 0.7500 0.7500
Re 0.2500 0.2500 0.2500
Ir 0.5000 0.5000 0.5000
V 0.0000 0.0000 0.0000
CELL_PARAMETERS angstrom
-0.3410 -2.2882 -3.6966
3.5774 -0.9919 -2.2882
1.4180 -4.1211 -0.1521
! Offset from the most stable computed form in meV per atom: 350
! Formation energy from the elements in meV per atom: 172
! E_tot in eV/cell: -42.2
! M_tot in μB/atom: 0.1812
! Crystal system: cubic



[3]
! VRe2Ir, optimized geometry, DFT PBE-GGA; values from VASP
&SYSTEM
  ibrav = 0, nat = 4, ntyp = 3
/
ATOMIC_SPECIES
Re 186.21 Re.upf
Ir 192.22 Ir.upf
V 50.94 V.upf
ATOMIC_POSITIONS crystal
Re 0.0000 0.0000 0.5000
Re 0.0000 0.5000 0.0000
Ir 0.5000 0.5000 0.5000
V 0.5000 0.0000 0.0000
CELL_PARAMETERS angstrom
3.9123 0.0000 0.0000
0.0000 3.8478 0.0000
0.0000 0.0000 3.8478
! Offset from the most stable computed form in meV per atom: 0
! Formation energy from the elements in meV per atom: -178
! E_tot in eV/cell: -43.6
! M_tot in μB/atom: 0.0000
! Crystal system: tetragonal



[4]
! V5Re4Ir, optimized geometry, DFT PBE-GGA; values from VASP
&SYSTEM
  ibrav = 0, nat = 10, ntyp = 3
/
ATOMIC_SPECIES
V 50.94 V.upf
Re 186.21 Re.upf
Ir 192.22 Ir.upf
ATOMIC_POSITIONS crystal
V 0.5000 0.5000 0.1051
V 0.5000 0.5000 0.3010
V 0.5000 0.5000 0.5000
V 0.5000 0.5000 0.6990
V 0.5000 0.5000 0.8949
Re 0.0000 0.0000 0.1996
Re 0.0000 0.0000 0.4000
Re 0.0000 0.0000 0.6000
Re 0.0000 0.0000 0.8004
Ir 0.0000 0.0000 0.0000
CELL_PARAMETERS angstrom
3.0394 0.0000 0.0000
0.0000 3.0394 0.0000
0.0000 0.0000 15.2089
! Formation energy from the elements in meV per atom: -344
! E_tot in eV/cell: -107.7
! M_tot in μB/atom: 0.0001
! Crystal system: tetragonal



[5]
! V6Re5Ir, optimized geometry, DFT PBE-GGA; values from VASP
&SYSTEM
  ibrav = 0, nat = 12, ntyp = 3
/
ATOMIC_SPECIES
Re 186.21 Re.upf
Ir 192.22 Ir.upf
V 50.94 V.upf
ATOMIC_POSITIONS crystal
Re 0.6644 0.1644 0.3289
Re 0.3327 0.3327 0.6653
Re 0.0000 0.5000 0.0000
Re 0.6673 0.6673 0.3347
Re 0.3356 0.8356 0.6711
Ir 0.0000 0.0000 0.0000
V 0.8312 0.5782 0.6624
V 0.8312 0.0842 0.6624
V 0.5000 0.7437 0.0000
V 0.5000 0.2563 0.0000
V 0.1688 0.9158 0.3376
V 0.1688 0.4218 0.3376
CELL_PARAMETERS angstrom
-3.3448 2.3905 1.2515
-3.4594 -4.9972 0.2992
5.1176 0.4839 5.3748
! Formation energy from the elements in meV per atom: -354
! E_tot in eV/cell: -130.1
! M_tot in μB/atom: 0.0000
! Crystal system: orthorhombic



[6]
! VRe2Ir, optimized geometry, DFT PBE-GGA; values from VASP
&SYSTEM
  ibrav = 0, nat = 8, ntyp = 3
/
ATOMIC_SPECIES
Re 186.21 Re.upf
Ir 192.22 Ir.upf
V 50.94 V.upf
ATOMIC_POSITIONS crystal
Re 0.5932 0.1250 0.2500
Re 0.1568 0.6250 0.2500
Re 0.3750 0.4068 0.7500
Re 0.8750 0.8432 0.7500
Ir 0.0000 0.0000 0.0000
Ir 0.7500 0.2500 0.5000
V 0.5000 0.5000 0.0000
V 0.2500 0.7500 0.5000
CELL_PARAMETERS angstrom
3.7387 0.0000 0.0000
0.0000 3.7387 0.0000
1.8693 1.8693 9.1815
! Offset from the most stable computed form in meV per atom: 741
! Formation energy from the elements in meV per atom: 563
! E_tot in eV/cell: -81.2
! M_tot in μB/atom: 0.2161
! Crystal system: tetragonal



[7]
! V2ReIr9, optimized geometry, DFT PBE-GGA; values from VASP
&SYSTEM
  ibrav = 0, nat = 12, ntyp = 3
/
ATOMIC_SPECIES
V 50.94 V.upf
Re 186.21 Re.upf
Ir 192.22 Ir.upf
ATOMIC_POSITIONS crystal
V 0.0000 0.0000 0.3378
V 0.0000 0.0000 0.6622
Re 0.0000 0.0000 0.0000
Ir 0.5000 0.5000 0.0000
Ir 0.5000 0.5000 0.3332
Ir 0.5000 0.5000 0.6668
Ir 0.5000 0.0000 0.1674
Ir 0.5000 0.0000 0.5000
Ir 0.5000 0.0000 0.8326
Ir 0.0000 0.5000 0.1674
Ir 0.0000 0.5000 0.5000
Ir 0.0000 0.5000 0.8326
CELL_PARAMETERS angstrom
-3.2463 -1.2089 1.6862
-0.2100 -2.9236 -2.5003
6.1942 -6.5980 7.1951
! Formation energy from the elements in meV per atom: -352
! E_tot in eV/cell: -114.7
! M_tot in μB/atom: 0.0001
! Crystal system: tetragonal



[8]
! V6ReIr, optimized geometry, DFT PBE-GGA; values from VASP
&SYSTEM
  ibrav = 0, nat = 8, ntyp = 3
/
ATOMIC_SPECIES
V 50.94 V.upf
Re 186.21 Re.upf
Ir 192.22 Ir.upf
ATOMIC_POSITIONS crystal
V 0.0000 0.1227 0.3721
V 0.0000 0.6279 0.8773
V 0.0000 0.6264 0.3736
V 0.5000 0.3829 0.1326
V 0.5000 0.8674 0.6171
V 0.5000 0.8735 0.1265
Re 0.5000 0.3756 0.6244
Ir 0.0000 0.1233 0.8767
CELL_PARAMETERS angstrom
-3.5022 2.3808 0.3234
-1.8917 -3.2707 3.5925
2.7638 3.7469 2.3461
! Formation energy from the elements in meV per atom: -357
! E_tot in eV/cell: -78.9
! M_tot in μB/atom: 0.0000
! Crystal system: orthorhombic



[9]
! VZnReIr, optimized geometry, DFT PBE-GGA; values from VASP
&SYSTEM
  ibrav = 0, nat = 4, ntyp = 4
/
ATOMIC_SPECIES
Re 186.21 Re.upf
Zn 65.41 Zn.upf
Ir 192.22 Ir.upf
V 50.94 V.upf
ATOMIC_POSITIONS crystal
Re 0.5000 0.5000 0.5000
Zn 0.2500 0.2500 0.2500
Ir 0.0000 0.0000 0.0000
V 0.7500 0.7500 0.7500
CELL_PARAMETERS angstrom
-4.0550 1.3358 -0.4852
-3.1694 -1.9206 2.1745
-1.9753 2.0773 3.2009
! Formation energy from the elements in meV per atom: -126
! E_tot in eV/cell: -32.2
! M_tot in μB/atom: 0.0001
! Crystal system: cubic



[10]
! ReIr2W, optimized geometry, DFT PBE-GGA; values from VASP
&SYSTEM
  ibrav = 0, nat = 4, ntyp = 3
/
ATOMIC_SPECIES
Ir 192.22 Ir.upf
Re 186.21 Re.upf
W 183.84 W.upf
ATOMIC_POSITIONS crystal
Ir 0.0000 0.0000 0.9998
Ir 0.5000 0.5000 0.2521
Re 0.0000 0.0000 0.4865
W 0.5000 0.5000 0.7616
CELL_PARAMETERS angstrom
-0.9967 -2.7093 -1.6081
2.7724 0.0470 -1.7976
2.5424 -3.2130 3.8374
! Offset from the most stable computed form in meV per atom: 465
! Formation energy from the elements in meV per atom: 144
! E_tot in eV/cell: -42.5
! M_tot in μB/atom: 0.0000
! Crystal system: tetragonal



[11]
! ReIrW, optimized geometry, DFT PBE-GGA; values from VASP
&SYSTEM
  ibrav = 0, nat = 3, ntyp = 3
/
ATOMIC_SPECIES
Ir 192.22 Ir.upf
Re 186.21 Re.upf
W 183.84 W.upf
ATOMIC_POSITIONS crystal
Ir 0.0000 0.0000 0.0012
Re 0.6667 0.3333 0.3283
W 0.3333 0.6667 0.6705
CELL_PARAMETERS angstrom
-1.6900 0.3957 -2.1439
-0.6351 -1.8645 1.9310
-3.4013 4.8653 3.5791
! Offset from the most stable computed form in meV per atom: 205
! Formation energy from the elements in meV per atom: 38
! E_tot in eV/cell: -34.1
! M_tot in μB/atom: 0.0000
! Crystal system: trigonal



[12]
! ReIr2W, optimized geometry, DFT PBE-GGA; values from VASP
&SYSTEM
  ibrav = 0, nat = 4, ntyp = 3
/
ATOMIC_SPECIES
Ir 192.22 Ir.upf
Re 186.21 Re.upf
W 183.84 W.upf
ATOMIC_POSITIONS crystal
Ir 0.0011 0.0011 0.0011
Ir 0.2483 0.2483 0.2483
Re 0.5030 0.5030 0.5030
W 0.7476 0.7476 0.7476
CELL_PARAMETERS angstrom
9.2240 -0.0205 -0.0120
8.8134 2.7214 -0.0120
8.8134 1.3197 2.3800
! Offset from the most stable computed form in meV per atom: 300
! Formation energy from the elements in meV per atom: -22
! E_tot in eV/cell: -43.2
! M_tot in μB/atom: 0.0000
! Crystal system: trigonal



[13]
! ReIr2W, optimized geometry, DFT PBE-GGA; values from VASP
&SYSTEM
  ibrav = 0, nat = 4, ntyp = 3
/
ATOMIC_SPECIES
Ir 192.22 Ir.upf
Re 186.21 Re.upf
W 183.84 W.upf
ATOMIC_POSITIONS crystal
Ir 0.9992 0.9992 0.9992
Ir 0.5008 0.5008 0.5008
Re 0.2500 0.2500 0.2500
W 0.7500 0.7500 0.7500
CELL_PARAMETERS angstrom
-3.7437 2.4854 -7.9443
-4.9477 -0.0014 -7.6697
-6.0666 2.2254 -6.4458
! Offset from the most stable computed form in meV per atom: 231
! Formation energy from the elements in meV per atom: -91
! E_tot in eV/cell: -43.5
! M_tot in μB/atom: 0.0000
! Crystal system: trigonal



Results for theoretical density: 16.73 17.43 17.65 14.09 14.10 15.93 19.53 10.44 14.65 20.44 20.44 20.72 20.89 (in g/cm³, following the order of the records).